[1]
Material: Sc2ZnN
Method: DFT, PBE-GGA
State: optimized geometry

Energy   -6.59 eV/atom

```
data_Sc2ZnN
_chemical_formula_sum 'Sc4 Zn2 N2'
_symmetry_space_group_name_H-M 'P 63/m m c'
_symmetry_Int_Tables_number 194
_symmetry_space_group_name_Hall '-P 6c 2c'
_cell_length_a 3.2014
_cell_length_b 3.2014
_cell_length_c 14.2385
_cell_angle_alpha 90.00
_cell_angle_beta 90.00
_cell_angle_gamma 120.00
loop_
_atom_site_label
_atom_site_type_symbol
_atom_site_fract_x
_atom_site_fract_y
_atom_site_fract_z
Sc1 Sc 0.3333 0.6667 0.0872
Zn1 Zn 0.3333 0.6667 0.7500
N1 N 0.0000 0.0000 0.0000
```

=====

[2]
Material: Sc4ZnN3
Method: DFT, PBE-GGA
State: optimized geometry

Energy   -7.93 eV/atom

```
data_Sc4ZnN3
_chemical_formula_sum 'Sc8 Zn2 N6'
_symmetry_space_group_name_H-M 'P 63/m m c'
_symmetry_Int_Tables_number 194
_symmetry_space_group_name_Hall '-P 6c 2c'
_cell_length_a 3.1866
_cell_length_b 3.1866
_cell_length_c 24.6892
_cell_angle_alpha 90.00
_cell_angle_beta 90.00
_cell_angle_gamma 120.00
loop_
_atom_site_label
_atom_site_type_symbol
_atom_site_fract_x
_atom_site_fract_y
_atom_site_fract_z
Sc1 Sc 0.0000 0.0000 0.1545
Sc2 Sc 0.3333 0.6667 0.0513
Zn1 Zn 0.3333 0.6667 0.2500
N1 N 0.0000 0.0000 0.0000
N2 N 0.3333 0.6667 0.6074
```

=====

[3]
Material: Sc3ZnN2
Method: DFT, PBE-GGA
State: optimized geometry

Energy   -7.49 eV/atom

```
data_Sc3ZnN2
_chemical_formula_sum 'Sc6 Zn2 N4'
_symmetry_space_group_name_H-M 'P 63/m m c'
_symmetry_Int_Tables_number 194
_symmetry_space_group_name_Hall '-P 6c 2c'
_cell_length_a 3.1919
_cell_length_b 3.1919
_cell_length_c 19.4668
_cell_angle_alpha 90.00
_cell_angle_beta 90.00
_cell_angle_gamma 120.00
loop_
_atom_site_label
_atom_site_type_symbol
_atom_site_fract_x
_atom_site_fract_y
_atom_site_fract_z
Sc1 Sc 0.0000 0.0000 0.0000
Sc2 Sc 0.3333 0.6667 0.1298
Zn1 Zn 0.0000 0.0000 0.2500
N1 N 0.3333 0.6667 0.5688
```

=====

[4]
Material: Sc2ZnN
Method: DFT, PBE-GGA
State: optimized geometry

Energy   -6.59 eV/atom

```
data_Sc2ZnN
_chemical_formula_sum 'Sc24 Zn12 N12'
_symmetry_space_group_name_H-M 'C 1 2/c 1'
_symmetry_Int_Tables_number 15
_symmetry_space_group_name_Hall '-C 2yc'
_cell_length_a 9.6062
_cell_length_b 5.5344
_cell_length_c 14.6410
_cell_angle_alpha 90.00
_cell_angle_beta 102.69
_cell_angle_gamma 90.00
loop_
_atom_site_label
_atom_site_type_symbol
_atom_site_fract_x
_atom_site_fract_y
_atom_site_fract_z
Sc1 Sc 0.0500 0.0814 0.4054
Sc2 Sc 0.1112 0.4137 0.5830
Sc3 Sc 0.2237 0.4180 0.9169
Zn1 Zn 0.0000 0.4948 0.7500
Zn2 Zn 0.2066 0.1228 0.7498
N1 N 0.0820 0.2457 0.0000
N2 N 0.2500 0.2500 0.5000
```

=====

[5]
Material: Zr2Sc4Zn3N3
Method: DFT, PBE-GGA
State: optimized geometry

Energy   -6.93 eV/atom

```
data_Zr2Sc4Zn3N3
_chemical_formula_sum 'Zr8 Sc16 Zn12 N12'
_symmetry_space_group_name_H-M 'C 1 2/c 1'
_symmetry_Int_Tables_number 15
_symmetry_space_group_name_Hall '-C 2yc'
_cell_length_a 9.6282
_cell_length_b 5.5445
_cell_length_c 14.4837
_cell_angle_alpha 90.00
_cell_angle_beta 103.56
_cell_angle_gamma 90.00
loop_
_atom_site_label
_atom_site_type_symbol
_atom_site_fract_x
_atom_site_fract_y
_atom_site_fract_z
Zr1 Zr 0.0451 0.0812 0.3993
Sc1 Sc 0.1127 0.4135 0.5824
Sc2 Sc 0.2227 0.4181 0.9176
Zn1 Zn 0.0000 0.4692 0.7500
Zn2 Zn 0.2162 0.1312 0.7492
N1 N 0.0819 0.2451 0.0000
N2 N 0.2500 0.2500 0.5000
```

=====

[6]
Material: Zr4Sc2Zn3N3
Method: DFT, PBE-GGA
State: optimized geometry

Energy   -7.28 eV/atom

```
data_Zr4Sc2Zn3N3
_chemical_formula_sum 'Zr16 Sc8 Zn12 N12'
_symmetry_space_group_name_H-M 'C 1 2/c 1'
_symmetry_Int_Tables_number 15
_symmetry_space_group_name_Hall '-C 2yc'
_cell_length_a 9.7715
_cell_length_b 5.6370
_cell_length_c 14.6500
_cell_angle_alpha 90.00
_cell_angle_beta 102.91
_cell_angle_gamma 90.00
loop_
_atom_site_label
_atom_site_type_symbol
_atom_site_fract_x
_atom_site_fract_y
_atom_site_fract_z
Zr1 Zr 0.1115 0.0857 0.0844
Zr2 Zr 0.2230 0.0826 0.4155
Sc1 Sc 0.0502 0.4183 0.9055
Zn1 Zn 0.0000 0.0134 0.2500
Zn2 Zn 0.2114 0.3724 0.2501
N1 N 0.0808 0.2575 0.5001
N2 N 0.2500 0.2500 0.0000
```

=====

[7]
Material: ZrSc3N4
Method: DFT, PBE-GGA
State: optimized geometry

Energy   -9.51 eV/atom

```
data_ZrSc3N4
_chemical_formula_sum 'Zr2 Sc6 N8'
_symmetry_space_group_name_H-M 'C m m m'
_symmetry_Int_Tables_number 65
_symmetry_space_group_name_Hall '-C 2 2'
_cell_length_a 6.3971
_cell_length_b 9.0337
_cell_length_c 3.1993
_cell_angle_alpha 90.00
_cell_angle_beta 90.00
_cell_angle_gamma 90.00
loop_
_atom_site_label
_atom_site_type_symbol
_atom_site_fract_x
_atom_site_fract_y
_atom_site_fract_z
Zr1 Zr 0.0000 0.0000 0.0000
Sc1 Sc 0.0000 0.5000 0.0000
Sc2 Sc 0.2500 0.2500 0.5000
N1 N 0.0000 0.2495 0.0000
N2 N 0.2500 0.0000 0.5000
```

=====

[8]
Material: Zr3ScN4
Method: DFT, PBE-GGA
State: optimized geometry

Energy   -9.93 eV/atom

```
data_Zr3ScN4
_chemical_formula_sum 'Zr3 Sc1 N4'
_symmetry_space_group_name_H-M 'P m -3 m'
_symmetry_Int_Tables_number 221
_symmetry_space_group_name_Hall '-P 4 2 3'
_cell_length_a 4.5752
_cell_length_b 4.5752
_cell_length_c 4.5752
_cell_angle_alpha 90.00
_cell_angle_beta 90.00
_cell_angle_gamma 90.00
loop_
_atom_site_label
_atom_site_type_symbol
_atom_site_fract_x
_atom_site_fract_y
_atom_site_fract_z
Zr1 Zr 0.0000 0.0000 0.5000
Sc1 Sc 0.5000 0.5000 0.5000
N1 N 0.0000 0.0000 0.0000
N2 N 0.0000 0.5000 0.5000
```

=====

[9]
Material: ZrScN2
Method: DFT, PBE-GGA
State: optimized geometry

Energy   -9.73 eV/atom

```
data_ZrScN2
_chemical_formula_sum 'Zr1 Sc1 N2'
_symmetry_space_group_name_H-M 'P 4/m m m'
_symmetry_Int_Tables_number 123
_symmetry_space_group_name_Hall '-P 4 2'
_cell_length_a 3.2206
_cell_length_b 3.2206
_cell_length_c 4.5361
_cell_angle_alpha 90.00
_cell_angle_beta 90.00
_cell_angle_gamma 90.00
loop_
_atom_site_label
_atom_site_type_symbol
_atom_site_fract_x
_atom_site_fract_y
_atom_site_fract_z
Zr1 Zr 0.0000 0.0000 0.0000
Sc1 Sc 0.5000 0.5000 0.5000
N1 N 0.0000 0.0000 0.5000
N2 N 0.5000 0.5000 0.0000
```

=====

[10]
Material: SmSeN3
Method: DFT, PBE-GGA
State: optimized geometry

Energy   -6.52 eV/atom

```
data_SmSeN3
_chemical_formula_sum 'Sm2 Se2 N6'
_symmetry_space_group_name_H-M 'P 1 21/m 1'
_symmetry_Int_Tables_number 11
_symmetry_space_group_name_Hall '-P 2yb'
_cell_length_a 5.7283
_cell_length_b 4.0066
_cell_length_c 6.8170
_cell_angle_alpha 90.00
_cell_angle_beta 111.71
_cell_angle_gamma 90.00
loop_
_atom_site_label
_atom_site_type_symbol
_atom_site_fract_x
_atom_site_fract_y
_atom_site_fract_z
Sm1 Sm 0.0124 0.2500 0.2630
Se1 Se 0.4974 0.2500 0.8303
N1 N 0.1960 0.2500 0.6341
N2 N 0.2071 0.7500 0.1847
N3 N 0.4616 0.7500 0.8872
```

=====

[11]
Material: Sm4Se3N
Method: DFT, PBE-GGA
State: optimized geometry

Energy   -6.33 eV/atom

```
data_Sm4Se3N
_chemical_formula_sum 'Sm8 Se6 N2'
_symmetry_space_group_name_H-M 'I 4/m m m'
_symmetry_Int_Tables_number 139
_symmetry_space_group_name_Hall '-I 4 2'
_cell_length_a 5.7410
_cell_length_b 5.7410
_cell_length_c 11.4969
_cell_angle_alpha 90.00
_cell_angle_beta 90.00
_cell_angle_gamma 90.00
loop_
_atom_site_label
_atom_site_type_symbol
_atom_site_fract_x
_atom_site_fract_y
_atom_site_fract_z
Sm1 Sm 0.0000 0.0000 0.2061
Sm2 Sm 0.0000 0.5000 0.0000
Se1 Se 0.0000 0.0000 0.5000
Se2 Se 0.0000 0.5000 0.2500
N1 N 0.0000 0.0000 0.0000
```

=====

[12]
Material: Tb3SeN2
Method: DFT, PBE-GGA
State: optimized geometry

Energy   -7.37 eV/atom

```
data_Tb3SeN2
_chemical_formula_sum 'Tb3 Se1 N2'
_symmetry_space_group_name_H-M 'P -3 m 1'
_symmetry_Int_Tables_number 164
_symmetry_space_group_name_Hall '-P 3 2"'
_cell_length_a 3.6147
_cell_length_b 3.6147
_cell_length_c 9.3575
_cell_angle_alpha 90.00
_cell_angle_beta 90.00
_cell_angle_gamma 120.00
loop_
_atom_site_label
_atom_site_type_symbol
_atom_site_fract_x
_atom_site_fract_y
_atom_site_fract_z
Tb1 Tb 0.0000 0.0000 0.0000
Tb2 Tb 0.3333 0.6667 0.2866
Se1 Se 0.0000 0.0000 0.5000
N1 N 0.3333 0.6667 0.8439
```